(1)
! In6Hg8Te (PBE-GGA, optimized geometry); values from VASP
&SYSTEM
  ibrav = 0, nat = 15, ntyp = 3
/
ATOMIC_SPECIES
In 114.82 In.upf
Hg 200.59 Hg.upf
Te 127.60 Te.upf
CELL_PARAMETERS angstrom
-2.805 4.671 -8.284
-6.716 1.859 3.142
-0.897 6.987 0.222
ATOMIC_POSITIONS angstrom
In -3.832 5.930 0.965
In -7.718 7.358 0.647
In -3.753 10.046 -4.054
In -6.665 3.470 -0.865
In -2.701 6.158 -5.567
In -6.587 7.586 -5.884
Hg -4.945 8.535 -0.104
Hg -6.704 4.788 1.927
Hg -3.725 7.317 -2.638
Hg -6.771 9.238 -3.376
Hg -3.647 4.278 -1.544
Hg -6.694 6.199 -2.281
Hg -3.715 8.728 -6.846
Hg -5.474 4.981 -4.815
Te 0.000 0.000 0.000
! Density, g/cm3: 9.4
! Final energy, eV/atom: -1.47
! Uncorrected formation energy, eV per atom: -0.005
! Space group: No. 2

(2)
! CsCuP2Pt4 (PBE-GGA, optimized geometry); values from VASP
&SYSTEM
  ibrav = 0, nat = 8, ntyp = 4
/
ATOMIC_SPECIES
Cs 132.91 Cs.upf
Cu 63.55 Cu.upf
P 30.97 P.upf
Pt 195.08 Pt.upf
CELL_PARAMETERS angstrom
-1.005 -0.885 -3.816
-2.678 -2.720 1.336
-7.303 7.303 0.231
ATOMIC_POSITIONS angstrom
Cs -3.652 3.651 0.116
Cu 0.000 0.000 0.000
P -3.827 0.183 -1.177
P -7.159 3.515 -1.072
Pt -2.505 -0.195 0.705
Pt -6.640 5.695 -1.714
Pt -1.668 0.723 -1.871
Pt -7.477 4.777 0.862
! Formation energy, eV/atom: -0.4162
! Density, g/cm3: 10.2
! Final energy, eV/atom: -5.41
! Space group: No. 123

(3)
! AsRuCl2 (PBE-GGA, optimized geometry); values from VASP
&SYSTEM
  ibrav = 0, nat = 4, ntyp = 3
/
ATOMIC_SPECIES
Ru 101.07 Ru.upf
As 74.92 As.upf
Cl 35.45 Cl.upf
CELL_PARAMETERS angstrom
-2.855 -2.368 1.950
4.177 0.538 2.709
-0.545 2.593 3.238
ATOMIC_POSITIONS angstrom
Ru 1.816 1.566 2.974
As 0.661 -0.915 2.330
Cl 0.000 0.000 0.000
Cl -1.700 0.113 2.594
! Density, g/cm3: 5.7
! Final energy, eV/atom: -3.94
! Uncorrected formation energy, eV per atom: 0.463
! Space group: No. 69
! ΔE to the lowest computed polymorph, meV per atom: 788

(4)
! CeSe3O9 (PBE-GGA, optimized geometry); values from VASP
&SYSTEM
  ibrav = 0, nat = 26, ntyp = 3
/
ATOMIC_SPECIES
Ce 140.12 Ce.upf
Se 78.96 Se.upf
O 16.00 O.upf
CELL_PARAMETERS angstrom
5.789 -0.001 2.436
2.341 8.127 2.531
-0.759 0.481 9.899
ATOMIC_POSITIONS angstrom
Ce 6.260 4.096 3.880
Ce 2.877 0.274 6.793
Se 5.301 4.548 10.220
Se 5.562 0.244 4.447
Se 7.290 7.886 12.655
Se 2.429 3.582 4.729
Se 2.654 2.719 9.592
Se 4.414 6.543 5.995
O 2.430 1.987 5.229
O 1.140 6.292 10.567
O 1.307 3.689 9.932
O 5.114 7.511 7.197
O 3.048 7.878 9.528
O 1.839 3.575 3.139
O 5.790 6.053 5.132
O 2.308 2.229 8.005
O 5.043 0.353 6.089
O 4.489 4.655 11.738
O 5.407 6.164 9.753
O 5.822 1.859 4.043
O 4.030 4.097 4.619
O 6.249 8.403 11.435
O 3.889 4.046 9.128
O 3.882 7.871 4.789
O 4.892 0.787 11.393
O 1.564 4.613 5.658
! Density, g/cm3: 3.6
! Final energy, eV/atom: -5.99
! Uncorrected formation energy, eV per atom: -1.301
! Space group: No. 9

(5)
! Zr2TcAg (PBE-GGA, optimized geometry); values from VASP
&SYSTEM
  ibrav = 0, nat = 4, ntyp = 3
/
ATOMIC_SPECIES
Zr 91.22 Zr.upf
Tc 98.00 Tc.upf
Ag 107.87 Ag.upf
CELL_PARAMETERS angstrom
4.722 0.000 0.000
0.000 3.405 0.002
0.000 -0.004 4.722
ATOMIC_POSITIONS angstrom
Zr 0.000 0.423 4.132
Zr 2.361 0.423 1.770
Tc 2.361 2.125 4.133
Ag 0.000 2.126 1.772
! Formation energy, eV/atom: -0.1704
! Density, g/cm3: 8.5
! Final energy, eV/atom: -7.75
! Space group: No. 123

(6)
! NaHgPd (PBE-GGA, optimized geometry); values from VASP
&SYSTEM
  ibrav = 0, nat = 9, ntyp = 3
/
ATOMIC_SPECIES
Na 22.99 Na.upf
Hg 200.59 Hg.upf
Pd 106.42 Pd.upf
CELL_PARAMETERS angstrom
-0.711 -3.224 -2.934
5.301 2.396 -3.918
1.913 -3.511 6.718
ATOMIC_POSITIONS angstrom
Na 1.739 -2.499 -1.000
Na 6.304 -1.143 -0.272
Na 4.008 1.812 -2.963
Hg 0.936 0.423 -0.692
Hg 3.626 -2.040 1.363
Hg 4.815 -1.422 -2.929
Pd 2.101 -0.502 -3.282
Pd 2.289 -4.499 1.064
Pd 3.606 -0.114 -0.749
! Formation energy, eV/atom: -0.1931
! Density, g/cm3: 8.0
! Final energy, eV/atom: -2.46
! Space group: No. 44
! ΔE to the lowest computed polymorph, meV per atom: 93

(7)
! TaSN2F (PBE-GGA, optimized geometry); values from VASP
&SYSTEM
  ibrav = 0, nat = 5, ntyp = 4
/
ATOMIC_SPECIES
N 14.01 N.upf
S 32.06 S.upf
F 19.00 F.upf
Ta 180.95 Ta.upf
CELL_PARAMETERS angstrom
3.831 0.000 0.000
0.000 3.725 0.000
0.000 0.000 3.831
ATOMIC_POSITIONS angstrom
N 0.000 0.000 1.915
N 1.915 0.000 0.000
S 0.000 0.000 0.000
F 0.000 1.863 0.000
Ta 1.915 1.863 1.915
! Density, g/cm3: 7.9
! Final energy, eV/atom: -5.73
! Uncorrected formation energy, eV per atom: 1.169
! Space group: No. 123
! ΔE to the lowest computed polymorph, meV per atom: 1197

(8)
! Sr2TcAg (PBE-GGA, optimized geometry); values from VASP
&SYSTEM
  ibrav = 0, nat = 4, ntyp = 3
/
ATOMIC_SPECIES
Sr 87.62 Sr.upf
Tc 98.00 Tc.upf
Ag 107.87 Ag.upf
CELL_PARAMETERS angstrom
0.000 3.839 3.839
3.839 0.000 3.839
3.839 3.839 0.000
ATOMIC_POSITIONS angstrom
Sr 1.919 1.919 1.919
Sr 5.758 5.758 5.758
Tc 0.000 0.000 0.000
Ag 3.839 3.839 3.839
! Formation energy, eV/atom: 0.5764
! Density, g/cm3: 5.6
! Final energy, eV/atom: -3.57
! Space group: No. 225
! ΔE to the lowest computed polymorph, meV per atom: 128